NaPu2Ga9 | PBE | relaxed

It has space group R-3m (No. 166, hexagonal axes), with a = 5.5625 Å, b = 5.5625 Å, c = 27.0208 Å, α = 90.00°, β = 90.00° and γ = 120.00°. Symmetry generates all atoms from Na at (0.0000, 0.0000, 0.0000), Pu at (0.0000, 0.0000, 0.1439), Ga at (0.0000, 0.0000, 0.3363), Ga at (0.0000, 0.0000, 0.5000) and Ga at (0.0078, 0.5039, 0.9149).

For the volume, the calculation gives 724.06 Å³/cell. As for the total energy: -4.97 eV per atom.